No. 1
Density functional theory data (PBE) for a relaxed UAgSn crystal.

Lattice parameters (Å, degrees): 3.093 3.093 7.420 102.03 102.03 90.00
Each line ends with the local moment (μB).
Atoms (fractional coordinates):
Sn: 0.673 0.673 0.347  -0.01
U: 0.997 0.997 0.994  2.73
Ag: 0.329 0.329 0.659  0.01

- N(E_F) (states/eV per cell) = 4.38
- size of the total moment (μB/f.u.) = 3.03
- electronic total energy (eV/atom) = -5.842
- volume (Å³/atom) = 22.6

---

No. 2
Density functional theory data (PBE) for a relaxed Ba2TlOs crystal.

Lattice parameters (Å, degrees): 3.815 3.815 9.657 90.00 90.00 90.00
Atoms (fractional coordinates):
Os: 0.000 0.000 0.566
Tl: 0.500 0.500 0.683
Ba: 0.000 0.000 0.907
Ba: 0.500 0.500 0.344

- N(E_F) (states/eV per cell) = 4.04
- size of the total moment (μB/f.u.) = 0.00
- offset from the most stable computed form (meV/atom) = 195
- volume (Å³/atom) = 35.1

---

No. 3
Density functional theory data (PBE) for a relaxed Hg2Ge2Bi crystal.

Lattice parameters (Å, degrees): 3.745 3.745 9.450 78.57 78.57 90.00
Atoms (fractional coordinates):
Ge: 0.250 0.750 0.500
Ge: 0.750 0.250 0.500
Bi: 0.000 0.000 0.000
Hg: 0.391 0.391 0.219
Hg: 0.609 0.609 0.781

- N(E_F) (states/eV per cell) = 2.68
- size of the total moment (μB/f.u.) = 0.00
- offset from the most stable computed form (meV/atom) = 0
- volume (Å³/atom) = 25.4